1.
This record from Alexandria describes a geometry-optimized La2NiP structure. The functional is GGA-PBE.

## Properties
ρ = 5.79 g cm⁻³
ΔH_f (0 K) = -0.7971 eV/atom

Cell lengths 7.490, 7.490, 7.490 Å; angles 32.08, 32.08, 32.08 degrees
Positions (direct):
La (0.250, 0.250, 0.250)
P (0.500, 0.500, 0.500)
Ni (0.000, 0.000, 0.000)
La (0.750, 0.750, 0.750)



2.
This record from Alexandria describes a geometry-optimized La2Ni3P2 structure. The functional is GGA-PBE.

## Properties
ρ = 7.08 g cm⁻³
ΔH_f (0 K) = -0.8062 eV/atom

Cell lengths 3.765, 5.715, 6.840 Å; angles 117.61, 90.00, 109.23 degrees
Positions (direct):
La (0.869, 0.738, 0.237)
P (0.854, 0.707, 0.773)
Ni (0.656, 0.311, 0.421)
P (0.146, 0.293, 0.227)
La (0.131, 0.262, 0.763)
Ni (0.500, 0.000, 0.000)
Ni (0.344, 0.689, 0.579)



3.
This record from Alexandria describes a geometry-optimized LaNi2P2 structure. The functional is GGA-PBE.

## Properties
ρ = 5.98 g cm⁻³
ΔH_f (0 K) = 0.0105 eV/atom

Cell lengths 4.236, 4.236, 5.685 Å; angles 90.00, 90.00, 120.00 degrees
Positions (direct):
P (0.333, 0.667, 0.500)
La (0.667, 0.333, 0.000)
Ni (0.000, 0.000, 0.294)
Ni (0.000, 0.000, 0.706)
P (0.667, 0.333, 0.500)